An optimized crystal structure of AgRhCl2, computed with PBE-GGA.

Cell lengths 6.5824, 6.5824, 4.7870 Å; angles 68.43, 68.43, 29.58 degrees
Fractional positions:
1 Ag 0.2500 0.2500 0.2500
2 Rh 0.7500 0.7500 0.7500
3 Cl 0.1096 0.1096 0.8920
4 Cl 0.3904 0.3904 0.6080

Output
Crystal system ... monoclinic
Space-group type ... No. 12
Uncorrected formation energy ... -0.206 eV per atom
Calculated density ... 4.94 g cm⁻³